Entry 1:
Li4MgSnPd2, relaxed, DFT PBE; energy = -27.46 eV/cell; crystal system = tetragonal
1.0
4.519 0.000 0.000
0.000 4.519 0.000
0.000 0.000 6.196
Pd Li Sn Mg
2 4 1 1
Cartesian
0.000 2.259 1.568
2.259 0.000 4.628
2.259 0.000 1.536
0.000 0.000 3.098
2.259 2.259 0.000
0.000 2.259 4.660
2.259 2.259 3.098
0.000 0.000 0.000

=====

Entry 2:
Li4MgSn2Pd, relaxed, DFT PBE; energy = -26.05 eV/cell; crystal system = tetragonal
1.0
4.581 0.000 0.000
0.000 4.581 0.000
0.000 0.000 6.646
Mg Pd Sn Li
1 1 2 4
Cartesian
0.000 0.000 0.000
2.291 2.291 3.323
2.291 0.000 4.869
0.000 2.291 1.776
2.291 2.291 0.000
0.000 0.000 3.323
0.000 2.291 4.812
2.291 0.000 1.833

=====

Entry 3:
Li2YMgSn2Pd2, relaxed, DFT PBE; energy = -35.64 eV/cell; crystal system = tetragonal
1.0
4.676 0.000 0.000
0.000 4.676 0.000
0.000 0.000 6.708
Mg Y Sn Li Pd
1 1 2 2 2
Cartesian
0.000 0.000 0.000
2.338 2.338 3.354
2.338 2.338 0.000
0.000 0.000 3.354
2.338 0.000 1.493
0.000 2.338 5.215
2.338 0.000 5.103
0.000 2.338 1.605

=====

energy of number 1 (Li4MgSnPd2)?
-27.46 eV/cell

=====

Which of these has the highest energy?
Li4MgSn2Pd

=====

energy of number 2 (Li4MgSn2Pd)?
-26.05 eV/cell